1.
Here is Tb9Tm4Hg11 after structural relaxation from the Alexandria database. Energies are from PBE-GGA.

POSCAR file:
```
Tb9Tm4Hg11
1.0
-0.132 3.521 -0.325
-13.590 -0.692 -1.975
2.808 1.342 13.393
Tb Tm Hg
9 4 11
Cartesian
-8.141 1.526 0.577
-2.773 2.645 10.516
-0.315 2.497 7.912
-10.600 1.674 3.181
-8.154 2.512 11.259
-2.760 1.659 -0.166
-11.016 2.157 8.577
0.101 2.014 2.516
-5.457 2.085 5.547
-5.717 2.370 8.731
-5.197 1.801 2.362
-8.632 2.008 6.000
-2.282 2.163 5.093
-5.324 0.859 11.461
-5.458 -0.208 -0.042
-11.157 0.135 5.994
0.375 0.515 5.425
-7.522 0.061 3.712
-3.260 0.589 7.706
-10.746 -0.339 0.691
-0.037 0.989 10.727
0.000 0.000 0.000
-8.216 0.495 8.700
-2.567 0.155 2.718
```

Summary:
ΔH_f (0 K) in meV per atom: -373
Raw total energy in eV/atom: -2.992
DOS(E_F) in states/eV per cell: 23.0



2.
Here is Tb2TmHg2 after structural relaxation from the Alexandria database. Energies are from PBE-GGA.

POSCAR file:
```
Tb2TmHg2
1.0
-4.032 1.844 -1.769
-1.316 -1.920 -5.444
-4.637 -3.669 0.305
Tb Tm Hg
2 1 2
Cartesian
-2.598 -1.331 -1.906
-7.387 -2.414 -5.002
0.000 0.000 0.000
-5.715 -2.253 -2.204
-4.270 -1.492 -4.704
```

Summary:
ΔH_f (0 K) in meV per atom: -319
Energy above the most stable polymorph in this dataset in meV/atom: 60
Raw total energy in eV/atom: -3.186
DOS(E_F) in states/eV per cell: 5.3



3.
Here is Tb4Tm9Hg11 after structural relaxation from the Alexandria database. Energies are from PBE-GGA.

POSCAR file:
```
Tb4Tm9Hg11
1.0
-2.455 1.152 2.255
-2.589 -12.815 3.729
9.736 5.155 7.966
Tb Tm Hg
4 9 11
Cartesian
4.554 -2.979 9.239
0.138 -3.528 4.711
2.466 -6.023 8.521
2.226 -0.484 5.429
-1.383 -6.599 4.625
6.075 0.092 9.325
4.422 1.863 6.621
0.270 -8.370 7.330
6.243 -4.582 11.897
-1.551 -1.925 2.053
3.991 -7.865 11.123
0.701 1.358 2.827
2.346 -3.254 6.975
7.693 -2.669 9.740
-0.546 -4.990 1.955
3.285 -9.096 8.225
3.862 1.437 3.470
1.964 -6.177 5.294
5.183 -1.483 6.401
-0.378 -9.590 4.490
7.525 1.931 7.206
0.000 0.000 0.000
5.596 -5.997 9.157
1.551 -1.662 2.538
```

Summary:
ΔH_f (0 K) in meV per atom: -363
Raw total energy in eV/atom: -2.950
DOS(E_F) in states/eV per cell: 22.0



4.
Here is TbTmHg6 after structural relaxation from the Alexandria database. Energies are from PBE-GGA.

POSCAR file:
```
TbTmHg6
1.0
-0.780 0.674 -4.376
-2.332 -3.839 -0.176
-8.052 4.792 2.173
Tb Tm Hg
1 1 6
Cartesian
0.000 0.000 0.000
-4.026 2.396 1.087
-1.556 -1.582 -2.276
-5.582 0.814 -1.189
-2.421 1.546 -1.640
-6.411 3.921 -0.563
-3.197 -0.711 0.460
-7.188 1.664 1.537
```

Summary:
ΔH_f (0 K) in meV per atom: -302
Energy above the most stable polymorph in this dataset in meV/atom: 27
Raw total energy in eV/atom: -1.666
DOS(E_F) in states/eV per cell: 4.5



Look up the DOS(E_F) of the first one. 23.0 states/eV per cell



Which value of raw total energy does entry 2 give? -3.186 eV/atom



Which value of ΔH_f (0 K) does entry 2 give? -319 meV per atom